Entry 1:
This record from Alexandria via LeMat-Bulk describes a PBEsol-optimized structure of SrHf3Ag. The functional is SCAN.

The structure in CIF format:
```
data_SrHf3Ag
_chemical_formula_sum 'Sr1 Hf3 Ag1'
_space_group_name_H-M_alt 'P 1'
_space_group_IT_number 1
_cell_length_a 5.179
_cell_length_b 5.179
_cell_length_c 5.179
_cell_angle_alpha 90.00
_cell_angle_beta 90.00
_cell_angle_gamma 90.00
loop_
_space_group_symop_operation_xyz
'x,y,z'
loop_
_atom_site_label
_atom_site_type_symbol
_atom_site_fract_x
_atom_site_fract_y
_atom_site_fract_z
Sr1 Sr 0.000 0.000 0.000
Hf1 Hf 0.000 0.500 0.500
Hf2 Hf 0.500 0.000 0.500
Hf3 Hf 0.500 0.500 0.000
Ag1 Ag 0.500 0.500 0.500
```


Entry 2:
This record from Alexandria via LeMat-Bulk describes a PBEsol-optimized structure of SrYHf2Ag. The functional is SCAN.

The structure in CIF format:
```
data_SrYHf2Ag
_chemical_formula_sum 'Sr1 Y1 Hf2 Ag1'
_space_group_name_H-M_alt 'P 1'
_space_group_IT_number 1
_cell_length_a 5.212
_cell_length_b 5.212
_cell_length_c 5.523
_cell_angle_alpha 90.00
_cell_angle_beta 90.00
_cell_angle_gamma 90.00
loop_
_space_group_symop_operation_xyz
'x,y,z'
loop_
_atom_site_label
_atom_site_type_symbol
_atom_site_fract_x
_atom_site_fract_y
_atom_site_fract_z
Sr1 Sr 0.000 0.000 0.000
Y1 Y 0.500 0.500 0.000
Hf1 Hf 0.000 0.500 0.500
Hf2 Hf 0.500 0.000 0.500
Ag1 Ag 0.000 0.000 0.500
```


Entry 3:
This record from Alexandria via LeMat-Bulk describes a PBEsol-optimized structure of HfTlAg2. The functional is SCAN.

The structure in CIF format:
```
data_HfTlAg2
_chemical_formula_sum 'Hf1 Tl1 Ag2'
_space_group_name_H-M_alt 'P 1'
_space_group_IT_number 1
_cell_length_a 4.745
_cell_length_b 4.745
_cell_length_c 4.745
_cell_angle_alpha 60.00
_cell_angle_beta 60.00
_cell_angle_gamma 60.00
loop_
_space_group_symop_operation_xyz
'x,y,z'
loop_
_atom_site_label
_atom_site_type_symbol
_atom_site_fract_x
_atom_site_fract_y
_atom_site_fract_z
Hf1 Hf 0.000 0.000 0.000
Tl1 Tl 0.500 0.500 0.500
Ag1 Ag 0.250 0.250 0.250
Ag2 Ag 0.750 0.750 0.750
```


Entry 4:
This record from Alexandria via LeMat-Bulk describes a PBEsol-optimized structure of YHf2Ag. The functional is SCAN.

The structure in CIF format:
```
data_YHf2Ag
_chemical_formula_sum 'Y1 Hf2 Ag1'
_space_group_name_H-M_alt 'P 1'
_space_group_IT_number 1
_cell_length_a 4.914
_cell_length_b 4.914
_cell_length_c 4.914
_cell_angle_alpha 60.00
_cell_angle_beta 60.00
_cell_angle_gamma 60.00
loop_
_space_group_symop_operation_xyz
'x,y,z'
loop_
_atom_site_label
_atom_site_type_symbol
_atom_site_fract_x
_atom_site_fract_y
_atom_site_fract_z
Y1 Y 0.000 0.000 0.000
Hf1 Hf 0.250 0.250 0.250
Hf2 Hf 0.750 0.750 0.750
Ag1 Ag 0.500 0.500 0.500
```


| no. | calculated volume (Å³/cell) | energy of formation (meV per atom) |
| --- | --- | --- |
| 1 | 139 | 923 |
| 2 | 150 | 788 |
| 3 | 76 | 159 |
| 4 | 84 | 364 |